# PmThCu2, relaxed, DFT PBE
data_PmThCu2
_chemical_formula_sum 'Pm1 Th1 Cu2'
_cell_length_a 5.102
_cell_length_b 5.102
_cell_length_c 3.492
_cell_angle_alpha 90.00
_cell_angle_beta 90.00
_cell_angle_gamma 90.00
_symmetry_space_group_name_H-M 'P 4/m m m'
_symmetry_Int_Tables_number 123
_symmetry_space_group_name_Hall '-P 4 2'
loop_
_atom_site_label
_atom_site_fract_x
_atom_site_fract_y
_atom_site_fract_z
Pm1 0.000 0.000 0.000
Th1 0.500 0.500 0.000
Cu1 0.000 0.500 0.500
# - Density of states at the Fermi level: 1.071 states/eV per atom
# - Energy relative to the elements: -103 meV per atom
# - Calculated total energy: -5.19 eV/atom

***

# TlGe3B, relaxed, DFT PBE
data_TlGe3B
_chemical_formula_sum 'Tl1 Ge3 B1'
_cell_length_a 5.374
_cell_length_b 5.374
_cell_length_c 5.374
_cell_angle_alpha 90.00
_cell_angle_beta 90.00
_cell_angle_gamma 90.00
_symmetry_space_group_name_H-M 'P m -3 m'
_symmetry_Int_Tables_number 221
_symmetry_space_group_name_Hall '-P 4 2 3'
loop_
_atom_site_label
_atom_site_fract_x
_atom_site_fract_y
_atom_site_fract_z
Tl1 0.000 0.000 0.000
Ge1 0.000 0.000 0.500
B1 0.500 0.500 0.500
# - Density of states at the Fermi level: 0.788 states/eV per atom
# - Energy relative to the elements: 1934 meV per atom
# - Calculated total energy: -2.65 eV/atom

***

# KBa2Ta, relaxed, DFT PBE
data_KBa2Ta
_chemical_formula_sum 'K4 Ba8 Ta4'
_cell_length_a 9.808
_cell_length_b 9.808
_cell_length_c 7.900
_cell_angle_alpha 90.00
_cell_angle_beta 90.00
_cell_angle_gamma 90.00
_symmetry_space_group_name_H-M 'I -4 2 d'
_symmetry_Int_Tables_number 122
_symmetry_space_group_name_Hall 'I -4 2bw'
loop_
_atom_site_label
_atom_site_fract_x
_atom_site_fract_y
_atom_site_fract_z
K1 0.000 0.000 0.000
Ba1 0.202 0.250 0.625
Ta1 0.000 0.000 0.500
# - Density of states at the Fermi level: 1.937 states/eV per atom
# - Energy relative to the elements: 1251 meV per atom
# - Calculated total energy: -2.95 eV/atom

***

# Pr7ErSn4, relaxed, DFT PBE
data_Pr7ErSn4
_chemical_formula_sum 'Pr14 Er2 Sn8'
_cell_length_a 14.381
_cell_length_b 5.928
_cell_length_c 11.216
_cell_angle_alpha 90.00
_cell_angle_beta 125.01
_cell_angle_gamma 90.00
_symmetry_space_group_name_H-M 'C 1 2/m 1'
_symmetry_Int_Tables_number 12
_symmetry_space_group_name_Hall '-C 2y'
loop_
_atom_site_label
_atom_site_fract_x
_atom_site_fract_y
_atom_site_fract_z
Pr1 0.000 0.000 0.000
Pr2 0.059 0.500 0.370
Pr3 0.189 0.000 0.618
Pr4 0.208 0.500 0.890
Er1 0.000 0.500 0.000
Sn1 0.062 0.000 0.762
Sn2 0.197 0.000 0.328
# - Density of states at the Fermi level: 0.869 states/eV per atom
# - Energy relative to the elements: -308 meV per atom
# - Calculated total energy: -4.81 eV/atom

***

# RbNaCa2Ni, relaxed, DFT PBE
data_RbNaCa2Ni
_chemical_formula_sum 'Rb1 Na1 Ca2 Ni1'
_cell_length_a 5.519
_cell_length_b 5.519
_cell_length_c 6.238
_cell_angle_alpha 90.00
_cell_angle_beta 90.00
_cell_angle_gamma 90.00
_symmetry_space_group_name_H-M 'P 4/m m m'
_symmetry_Int_Tables_number 123
_symmetry_space_group_name_Hall '-P 4 2'
loop_
_atom_site_label
_atom_site_fract_x
_atom_site_fract_y
_atom_site_fract_z
Rb1 0.000 0.000 0.000
Na1 0.500 0.500 0.000
Ca1 0.000 0.500 0.500
Ni1 0.500 0.500 0.500
# - Density of states at the Fermi level: 0.453 states/eV per atom
# - Energy relative to the elements: 145 meV per atom
# - Calculated total energy: -2.27 eV/atom

***

# Pm11Ga9Co4, relaxed, DFT PBE
data_Pm11Ga9Co4
_chemical_formula_sum 'Pm22 Ga18 Co8'
_cell_length_a 14.021
_cell_length_b 20.946
_cell_length_c 3.690
_cell_angle_alpha 90.00
_cell_angle_beta 90.00
_cell_angle_gamma 90.00
_symmetry_space_group_name_H-M 'C m m m'
_symmetry_Int_Tables_number 65
_symmetry_space_group_name_Hall '-C 2 2'
loop_
_atom_site_label
_atom_site_fract_x
_atom_site_fract_y
_atom_site_fract_z
Pm1 0.000 0.000 0.000
Pm2 0.000 0.170 0.000
Pm3 0.000 0.376 0.000
Pm4 0.188 0.500 0.000
Pm5 0.244 0.170 0.000
Ga1 0.000 0.500 0.500
Ga2 0.100 0.271 0.500
Ga3 0.153 0.068 0.500
Co1 0.157 0.397 0.500
# - Density of states at the Fermi level: 0.773 states/eV per atom
# - Energy relative to the elements: -456 meV per atom
# - Calculated total energy: -4.95 eV/atom

***

# Ba3SrAu7, relaxed, DFT PBE
data_Ba3SrAu7
_chemical_formula_sum 'Ba12 Sr4 Au28'
_cell_length_a 4.390
_cell_length_b 21.824
_cell_length_c 14.147
_cell_angle_alpha 90.00
_cell_angle_beta 90.00
_cell_angle_gamma 90.00
_symmetry_space_group_name_H-M 'C m c m'
_symmetry_Int_Tables_number 63
_symmetry_space_group_name_Hall '-C 2c 2'
loop_
_atom_site_label
_atom_site_fract_x
_atom_site_fract_y
_atom_site_fract_z
Ba1 0.000 0.117 0.039
Ba2 0.000 0.235 0.750
Sr1 0.000 0.025 0.750
Au1 0.000 0.271 0.054
Au2 0.000 0.380 0.152
Au3 0.000 0.406 0.750
Au4 0.000 0.494 0.597
# - Density of states at the Fermi level: 0.253 states/eV per atom
# - Energy relative to the elements: -694 meV per atom
# - Calculated total energy: -3.46 eV/atom

***

# Na5Hf3O8, relaxed, DFT PBE
data_Na5Hf3O8
_chemical_formula_sum 'Na15 Hf9 O24'
_cell_length_a 6.4641
_cell_length_b 6.4641
_cell_length_c 16.5497
_cell_angle_alpha 90.00
_cell_angle_beta 90.00
_cell_angle_gamma 120.00
_symmetry_space_group_name_H-M 'R -3 m'
_symmetry_Int_Tables_number 166
_symmetry_space_group_name_Hall '-R 3 2"'
loop_
_atom_site_label
_atom_site_fract_x
_atom_site_fract_y
_atom_site_fract_z
Na1 0.0000 0.0000 0.0000
Na2 0.0000 0.0000 0.5000
Na3 0.0000 0.5000 0.0000
Hf1 0.0000 0.5000 0.5000
O1 0.0000 0.0000 0.2366
O2 0.0279 0.5139 0.7644
# - Density of states at the Fermi level: 0.275 states/eV per atom
# - Calculated total energy: -7.30 eV/atom

***

# ErPuGa, relaxed, DFT PBE
data_ErPuGa
_chemical_formula_sum 'Er1 Pu1 Ga1'
_cell_length_a 4.9943
_cell_length_b 4.9943
_cell_length_c 3.3838
_cell_angle_alpha 90.00
_cell_angle_beta 90.00
_cell_angle_gamma 120.00
_symmetry_space_group_name_H-M 'P 3 m 1'
_symmetry_Int_Tables_number 156
_symmetry_space_group_name_Hall 'P 3 -2"'
loop_
_atom_site_label
_atom_site_fract_x
_atom_site_fract_y
_atom_site_fract_z
Er1 0.0000 0.0000 0.0000
Pu1 0.6667 0.3333 0.5664
Ga1 0.3333 0.6667 0.2623
# - Density of states at the Fermi level: 1.563 states/eV per atom
# - Energy relative to the elements: -152 meV per atom
# - Calculated total energy: -7.46 eV/atom

***

# La3TmSe4, relaxed, DFT PBE
data_La3TmSe4
_chemical_formula_sum 'La6 Tm2 Se8'
_cell_length_a 8.574
_cell_length_b 12.005
_cell_length_c 4.197
_cell_angle_alpha 90.00
_cell_angle_beta 90.00
_cell_angle_gamma 90.00
_symmetry_space_group_name_H-M 'C m m m'
_symmetry_Int_Tables_number 65
_symmetry_space_group_name_Hall '-C 2 2'
loop_
_atom_site_label
_atom_site_fract_x
_atom_site_fract_y
_atom_site_fract_z
La1 0.000 0.000 0.000
La2 0.250 0.250 0.500
Tm1 0.000 0.500 0.000
Se1 0.000 0.259 0.000
Se2 0.232 0.500 0.500
# - Density of states at the Fermi level: 0.662 states/eV per atom
# - Calculated total energy: -6.06 eV/atom

***

# Sr2EuBr, relaxed, DFT PBE
data_Sr2EuBr
_chemical_formula_sum 'Sr6 Eu3 Br3'
_cell_length_a 4.1504
_cell_length_b 4.1504
_cell_length_c 34.0114
_cell_angle_alpha 90.00
_cell_angle_beta 90.00
_cell_angle_gamma 120.00
_symmetry_space_group_name_H-M 'R -3 m'
_symmetry_Int_Tables_number 166
_symmetry_space_group_name_Hall '-R 3 2"'
loop_
_atom_site_label
_atom_site_fract_x
_atom_site_fract_y
_atom_site_fract_z
Sr1 0.0000 0.0000 0.2363
Eu1 0.0000 0.0000 0.0000
Br1 0.0000 0.0000 0.5000
# - Density of states at the Fermi level: 2.736 states/eV per atom
# - Calculated total energy: -4.55 eV/atom

***

# BaCo2Br8, relaxed, DFT PBE
data_BaCo2Br8
_chemical_formula_sum 'Ba2 Co4 Br16'
_cell_length_a 14.167
_cell_length_b 9.842
_cell_length_c 7.048
_cell_angle_alpha 90.00
_cell_angle_beta 100.75
_cell_angle_gamma 90.00
_symmetry_space_group_name_H-M 'C 1 2/m 1'
_symmetry_Int_Tables_number 12
_symmetry_space_group_name_Hall '-C 2y'
loop_
_atom_site_label
_atom_site_fract_x
_atom_site_fract_y
_atom_site_fract_z
Ba1 0.000 0.000 0.000
Co1 0.198 0.000 0.659
Br1 0.115 0.192 0.741
Br2 0.147 0.500 0.178
Br3 0.198 0.000 0.326
# - Density of states at the Fermi level: 1.074 states/eV per atom
# - Calculated total energy: -3.43 eV/atom

***

> Among the records above, which one has the highest density of states at the Fermi level?

Sr2EuBr

***

> What is the calculated total energy in the seventh record?

-3.46 eV/atom

***

> Which formula does entry 2 have?

TlGe3B